[1]
A crystal of Na2Te4WO12 relaxed with PBEsol, computed with meta-GGA SCAN.

**E_tot**: -662.94 eV for the cell shown
**E_form (uncorrected)**: -29.572 eV/f.u.
**V**: 529.7 Å³/cell
**Size of the total moment**: 0.00 μB per formula unit

Cell lengths 9.1332, 9.1332, 11.1623 Å; angles 104.96, 104.96, 36.24 degrees
Element x y z (fractional)
Na  0.0202  0.5512  0.7271
Na  0.4488  0.9798  0.7729
Na  0.5512  0.0202  0.2271
Na  0.9798  0.4488  0.2729
Te  0.1194  0.6952  0.4047
Te  0.1595  0.5291  0.0614
Te  0.3048  0.8806  0.0953
Te  0.4709  0.8405  0.4386
Te  0.5291  0.1595  0.5614
Te  0.6952  0.1194  0.9047
Te  0.8405  0.4709  0.9386
Te  0.8806  0.3048  0.5953
W  0.3319  0.6681  0.7500
W  0.6681  0.3319  0.2500
O  0.0132  0.3045  0.7569
O  0.1077  0.8482  0.8603
O  0.1518  0.8923  0.6397
O  0.1700  0.3131  0.0684
O  0.2812  0.4992  0.6604
O  0.3045  0.0132  0.2569
O  0.3131  0.1700  0.5684
O  0.3268  0.3474  0.4057
O  0.3474  0.3268  0.9057
O  0.3741  0.6051  0.3666
O  0.3949  0.6259  0.1334
O  0.4992  0.2812  0.1604
O  0.5008  0.7188  0.8396
O  0.6051  0.3741  0.8666
O  0.6259  0.3949  0.6334
O  0.6526  0.6732  0.0943
O  0.6732  0.6526  0.5943
O  0.6869  0.8300  0.4316
O  0.6955  0.9868  0.7431
O  0.7188  0.5008  0.3396
O  0.8300  0.6869  0.9316
O  0.8482  0.1077  0.3603
O  0.8923  0.1518  0.1397
O  0.9868  0.6955  0.2431

[2]
A crystal of NaTi5O10 relaxed with PBEsol, computed with meta-GGA SCAN.

**E_tot**: -792.13 eV for the cell shown
**E_form (uncorrected)**: -51.355 eV/f.u.
**V**: 720.5 Å³/cell
**Size of the total moment**: 0.99 μB per formula unit

Cell lengths 8.3721, 9.4090, 10.0267 Å; angles 81.59, 67.37, 84.44 degrees
Element x y z (fractional)
Na  0.1013  0.0997  0.0990
Na  0.3010  0.2997  0.3010
Na  0.6990  0.7003  0.6990
Na  0.8987  0.9003  0.9010
Ti  0.0360  0.4395  0.1443
Ti  0.0632  0.8572  0.5584
Ti  0.1381  0.3429  0.6406
Ti  0.1664  0.7595  0.0547
Ti  0.2346  0.6372  0.3474
Ti  0.2635  0.0563  0.7582
Ti  0.3377  0.5413  0.8368
Ti  0.3674  0.9609  0.2546
Ti  0.4348  0.8360  0.5448
Ti  0.4657  0.2581  0.9587
Ti  0.5343  0.7419  0.0413
Ti  0.5652  0.1640  0.4552
Ti  0.6326  0.0391  0.7454
Ti  0.6623  0.4587  0.1632
Ti  0.7365  0.9437  0.2418
Ti  0.7654  0.3628  0.6526
Ti  0.8336  0.2405  0.9453
Ti  0.8619  0.6571  0.3594
Ti  0.9368  0.1428  0.4416
Ti  0.9640  0.5605  0.8557
O  0.0075  0.7438  0.4371
O  0.0204  0.2814  0.2762
O  0.0635  0.1789  0.8185
O  0.0912  0.6223  0.9637
O  0.1096  0.5797  0.2335
O  0.1378  0.0218  0.3824
O  0.1814  0.9190  0.9240
O  0.1918  0.4578  0.7620
O  0.2045  0.9390  0.6408
O  0.2073  0.4788  0.4757
O  0.2640  0.3793  0.0175
O  0.2914  0.8240  0.1640
O  0.3088  0.7792  0.4338
O  0.3333  0.2167  0.5796
O  0.3824  0.1201  0.1245
O  0.3935  0.6576  0.9606
O  0.4048  0.1415  0.8399
O  0.4167  0.6852  0.6811
O  0.4602  0.5780  0.2155
O  0.4915  0.0217  0.3658
O  0.5085  0.9783  0.6342
O  0.5398  0.4220  0.7845
O  0.5833  0.3148  0.3189
O  0.5952  0.8585  0.1601
O  0.6065  0.3424  0.0394
O  0.6176  0.8799  0.8755
O  0.6667  0.7833  0.4204
O  0.6912  0.2208  0.5662
O  0.7086  0.1760  0.8360
O  0.7360  0.6207  0.9825
O  0.7927  0.5212  0.5243
O  0.7955  0.0610  0.3592
O  0.8082  0.5422  0.2380
O  0.8186  0.0810  0.0760
O  0.8622  0.9782  0.6176
O  0.8904  0.4203  0.7665
O  0.9088  0.3777  0.0363
O  0.9365  0.8211  0.1815
O  0.9796  0.7186  0.7238
O  0.9925  0.2562  0.5629

[3]
A crystal of Na6Ti2O7 relaxed with PBEsol, computed with meta-GGA SCAN.

**E_tot**: -274.70 eV for the cell shown
**E_form (uncorrected)**: -36.381 eV/f.u.
**Energy relative to the lowest polymorph listed for this composition**: 0.014 eV/atom
**V**: 413.9 Å³/cell
**Size of the total moment**: 0.00 μB per formula unit

Cell lengths 5.9435, 5.9435, 12.1496 Å; angles 100.40, 100.40, 92.50 degrees
Element x y z (fractional)
Na  0.0000  0.0000  0.0000
Na  0.0000  0.0000  0.5000
Na  0.0292  0.4755  0.8689
Na  0.0601  0.9399  0.7500
Na  0.2593  0.5520  0.4131
Na  0.4480  0.7407  0.0869
Na  0.4755  0.0292  0.3689
Na  0.5245  0.9708  0.6311
Na  0.5520  0.2593  0.9131
Na  0.7407  0.4480  0.5869
Na  0.9399  0.0601  0.2500
Na  0.9708  0.5245  0.1311
Ti  0.2662  0.4293  0.6387
Ti  0.4293  0.2662  0.1387
Ti  0.5707  0.7338  0.8613
Ti  0.7338  0.5707  0.3613
O  0.0377  0.2780  0.6823
O  0.1932  0.7038  0.6041
O  0.2459  0.3484  0.0191
O  0.2780  0.0377  0.1823
O  0.2962  0.8068  0.8959
O  0.3484  0.2459  0.5191
O  0.4624  0.5376  0.2500
O  0.5376  0.4624  0.7500
O  0.6516  0.7541  0.4809
O  0.7038  0.1932  0.1041
O  0.7220  0.9623  0.8177
O  0.7541  0.6516  0.9809
O  0.8068  0.2962  0.3959
O  0.9623  0.7220  0.3177

[4]
A crystal of Na7Ti16O32 relaxed with PBEsol, computed with meta-GGA SCAN.

**E_tot**: -651.42 eV for the cell shown
**E_form (uncorrected)**: -166.038 eV/f.u.
**V**: 634.1 Å³/cell
**Size of the total moment**: 0.01 μB per formula unit

Cell lengths 10.5220, 10.5220, 10.5220 Å; angles 131.81, 131.81, 70.53 degrees
Element x y z (fractional)
Na  0.0000  0.0000  0.0000
Na  0.1276  0.6240  0.0000
Na  0.2500  0.7500  0.5000
Na  0.3760  0.3760  0.5037
Na  0.6240  0.1276  0.0000
Na  0.7500  0.2500  0.5000
Na  0.8724  0.8724  0.4963
Ti  0.0614  0.3106  0.0000
Ti  0.0698  0.3166  0.5092
Ti  0.1903  0.1903  0.7525
Ti  0.1926  0.6834  0.7532
Ti  0.3106  0.0614  0.0000
Ti  0.3166  0.0698  0.5092
Ti  0.4378  0.4378  0.2475
Ti  0.4395  0.9302  0.2468
Ti  0.5605  0.8074  0.4908
Ti  0.5622  0.8097  0.0000
Ti  0.6834  0.1926  0.7532
Ti  0.6894  0.6894  0.7507
Ti  0.8074  0.5605  0.4908
Ti  0.8097  0.5622  0.0000
Ti  0.9302  0.4395  0.2468
Ti  0.9386  0.9386  0.2493
O  0.0335  0.5352  0.2131
O  0.0515  0.5534  0.7121
O  0.0742  0.0742  0.2897
O  0.0892  0.0892  0.7865
O  0.1586  0.4466  0.4980
O  0.1796  0.9665  0.5018
O  0.1949  0.4093  0.0000
O  0.2155  0.9258  0.0000
O  0.2886  0.2886  0.7188
O  0.3027  0.3027  0.2135
O  0.3221  0.8204  0.7869
O  0.3394  0.8414  0.2879
O  0.4093  0.1949  0.0000
O  0.4302  0.7114  0.0000
O  0.4466  0.1586  0.4980
O  0.4648  0.6779  0.4982
O  0.5352  0.0335  0.2131
O  0.5534  0.0515  0.7121
O  0.5698  0.5698  0.2812
O  0.5907  0.5907  0.7857
O  0.6606  0.9485  0.5020
O  0.6779  0.4648  0.4982
O  0.6973  0.9108  0.0000
O  0.7114  0.4302  0.0000
O  0.7845  0.7845  0.7103
O  0.8051  0.8051  0.2143
O  0.8204  0.3221  0.7869
O  0.8414  0.3394  0.2879
O  0.9108  0.6973  0.0000
O  0.9258  0.2155  0.0000
O  0.9485  0.6606  0.5020
O  0.9665  0.1796  0.5018

[5]
A crystal of Na2Ti7O15 relaxed with PBEsol, computed with meta-GGA SCAN.

**E_tot**: -1160.31 eV for the cell shown
**E_form (uncorrected)**: -75.969 eV/f.u.
**V**: 1190.8 Å³/cell
**Size of the total moment**: 0.00 μB per formula unit

Cell lengths 7.4675, 7.7910, 21.2162 Å; angles 96.37, 90.01, 103.82 degrees
Element x y z (fractional)
Na  0.2200  0.3775  0.3169
Na  0.2343  0.4359  0.9075
Na  0.2522  0.5081  0.5108
Na  0.2647  0.5647  0.1090
Na  0.7353  0.4353  0.8910
Na  0.7478  0.4919  0.4892
Na  0.7657  0.5641  0.0925
Na  0.7800  0.6225  0.6831
Ti  0.0498  0.7003  0.2562
Ti  0.0620  0.7472  0.8269
Ti  0.0725  0.7841  0.4000
Ti  0.0839  0.8351  0.9727
Ti  0.0965  0.8904  0.5434
Ti  0.1109  0.9443  0.1160
Ti  0.1222  0.9891  0.6868
Ti  0.3783  0.0125  0.3130
Ti  0.3886  0.0554  0.8838
Ti  0.4007  0.1100  0.4560
Ti  0.4160  0.1647  0.0270
Ti  0.4293  0.2135  0.5996
Ti  0.4385  0.2529  0.1727
Ti  0.4495  0.3005  0.7438
Ti  0.5505  0.6995  0.2562
Ti  0.5615  0.7471  0.8273
Ti  0.5707  0.7865  0.4004
Ti  0.5840  0.8353  0.9730
Ti  0.5993  0.8900  0.5440
Ti  0.6114  0.9446  0.1162
Ti  0.6217  0.9875  0.6870
Ti  0.8778  0.0109  0.3132
Ti  0.8891  0.0557  0.8840
Ti  0.9035  0.1096  0.4566
Ti  0.9161  0.1649  0.0273
Ti  0.9275  0.2159  0.6000
Ti  0.9380  0.2528  0.1731
Ti  0.9502  0.2997  0.7438
O  0.0114  0.4771  0.2144
O  0.0398  0.6489  0.9113
O  0.0428  0.6023  0.3409
O  0.0497  0.6947  0.4804
O  0.0603  0.8016  0.6183
O  0.0607  0.7484  0.0500
O  0.0775  0.8093  0.1788
O  0.0783  0.8609  0.7500
O  0.1101  0.9407  0.3230
O  0.1232  0.9914  0.8913
O  0.1358  0.0426  0.4635
O  0.1479  0.0914  0.0302
O  0.1608  0.1440  0.5989
O  0.1741  0.1961  0.1615
O  0.1860  0.2439  0.7330
O  0.3170  0.7662  0.2654
O  0.3262  0.8036  0.8350
O  0.3408  0.8631  0.4019
O  0.3523  0.9083  0.9698
O  0.3634  0.9529  0.5389
O  0.3774  0.0081  0.1088
O  0.3878  0.0522  0.6771
O  0.3982  0.1444  0.2508
O  0.4097  0.2022  0.3822
O  0.4218  0.1886  0.8208
O  0.4359  0.2513  0.9497
O  0.4519  0.3045  0.5202
O  0.4645  0.3509  0.0884
O  0.4783  0.4784  0.2135
O  0.4898  0.3944  0.6595
O  0.5102  0.6056  0.3405
O  0.5217  0.5216  0.7865
O  0.5355  0.6491  0.9116
O  0.5481  0.6955  0.4798
O  0.5641  0.7487  0.0503
O  0.5782  0.8114  0.1792
O  0.5903  0.7978  0.6178
O  0.6018  0.8556  0.7492
O  0.6122  0.9478  0.3229
O  0.6226  0.9919  0.8912
O  0.6366  0.0471  0.4611
O  0.6477  0.0917  0.0302
O  0.6592  0.1369  0.5981
O  0.6738  0.1964  0.1650
O  0.6830  0.2338  0.7346
O  0.8140  0.7561  0.2670
O  0.8259  0.8039  0.8385
O  0.8392  0.8560  0.4011
O  0.8521  0.9086  0.9698
O  0.8642  0.9574  0.5365
O  0.8768  0.0086  0.1087
O  0.8899  0.0593  0.6770
O  0.9217  0.1391  0.2500
O  0.9225  0.1907  0.8212
O  0.9393  0.2516  0.9500
O  0.9397  0.1984  0.3817
O  0.9503  0.3053  0.5196
O  0.9572  0.3977  0.6591
O  0.9602  0.3511  0.0887
O  0.9886  0.5229  0.7856

[6]
A crystal of Na2Ti12O25 relaxed with PBEsol, computed with meta-GGA SCAN.

**E_tot**: -482.06 eV for the cell shown
**E_form (uncorrected)**: -125.492 eV/f.u.
**Energy relative to the lowest polymorph listed for this composition**: 0.003 eV/atom
**V**: 480.6 Å³/cell
**Size of the total moment**: 0.00 μB per formula unit

Cell lengths 9.2810, 3.7302, 14.4477 Å; angles 90.00, 106.08, 90.00 degrees
Element x y z (fractional)
Na  0.2136  0.0000  0.4597
Na  0.7864  0.0000  0.5403
Ti  0.1016  0.5000  0.2593
Ti  0.1342  0.0000  0.0940
Ti  0.1822  0.0000  0.8530
Ti  0.1870  0.5000  0.6752
Ti  0.4683  0.0000  0.7945
Ti  0.4914  0.5000  0.6247
Ti  0.5086  0.5000  0.3753
Ti  0.5317  0.0000  0.2055
Ti  0.8130  0.5000  0.3248
Ti  0.8178  0.0000  0.1470
Ti  0.8658  0.0000  0.9060
Ti  0.8984  0.5000  0.7407
O  0.0193  0.5000  0.3669
O  0.0643  0.0000  0.2230
O  0.1076  0.0000  0.9613
O  0.1221  0.5000  0.1226
O  0.1440  0.5000  0.8162
O  0.2183  0.0000  0.7156
O  0.2623  0.5000  0.5736
O  0.2919  0.5000  0.3283
O  0.3383  0.0000  0.1407
O  0.3805  0.0000  0.8959
O  0.4275  0.5000  0.7566
O  0.4894  0.0000  0.6558
O  0.5000  0.5000  0.5000
O  0.5106  0.0000  0.3442
O  0.5725  0.5000  0.2434
O  0.6195  0.0000  0.1041
O  0.6617  0.0000  0.8593
O  0.7081  0.5000  0.6717
O  0.7377  0.5000  0.4264
O  0.7817  0.0000  0.2844
O  0.8560  0.5000  0.1838
O  0.8779  0.5000  0.8774
O  0.8924  0.0000  0.0387
O  0.9357  0.0000  0.7770
O  0.9807  0.5000  0.6331